--- a ---
DFT (PBE) results for Pr2HoTl4 after structural relaxation.

## Properties
* SG: I4/mmm
* D(E_F): 5.7 states/eV/f.u.

Unit cell a=5.341 b=5.341 c=8.533 alpha=108.24 beta=108.24 gamma=90.00
Element x y z (fractional)
1 Tl 0.890 0.390 0.780
2 Tl 0.110 0.610 0.220
3 Pr 0.251 0.251 0.502
4 Tl 0.610 0.110 0.220
5 Pr 0.749 0.749 0.498
6 Tl 0.390 0.890 0.780
7 Ho 0.000 0.000 0.000



--- b ---
DFT (PBE) results for Pr2HoTl4 after structural relaxation.

## Properties
* SG: I4/mmm
* D(E_F): 10.6 states/eV/f.u.

Unit cell a=5.780 b=5.780 c=8.979 alpha=108.78 beta=108.78 gamma=90.00
Element x y z (fractional)
1 Tl 0.808 0.808 0.617
2 Tl 0.500 0.000 0.000
3 Tl 0.000 0.500 0.000
4 Tl 0.192 0.192 0.383
5 Pr 0.606 0.606 0.211
6 Ho 0.000 0.000 0.000
7 Pr 0.394 0.394 0.789



Most stable structure, least stable structure: a, b.